Record 1
Material: TcRh2W
Method: DFT, PBEsol
State: relaxed

abc: 2.6891 2.6891 7.7564
angles: 90.00 90.00 90.00
Space group P4/mmm (No. 123)
One atom of each set of equivalent atoms:
Tc 0.0000 0.0000 0.0000 [1 per cell]
Rh 0.5000 0.5000 0.2463 [2 per cell]
W 0.0000 0.0000 0.5000 [1 per cell]

Output
D(E_F) = 0.90 states/eV per atom
Mass density = 14437 kg/m³
M_tot = 0.0 μB per cell
Formation enthalpy at 0 K = -2.76 kcal/mol of atoms
Energy above the lowest structure with this stoichiometry = 0.1041 eV per atom


Record 2
Material: TcRh2W
Method: DFT, PBEsol
State: relaxed

abc: 2.7022 4.3527 4.7541
angles: 90.00 90.00 90.00
Space group Pmm2 (No. 25)
One atom of each set of equivalent atoms:
Tc 0.0000 0.0000 0.0000 [1 per cell]
Rh 0.5000 0.0000 0.4948 [1 per cell]
Rh 0.5000 0.5000 0.1571 [1 per cell]
W 0.0000 0.5000 0.6658 [1 per cell]

Output
D(E_F) = 0.58 states/eV per atom
Mass density = 14482 kg/m³
M_tot = 0.0 μB per cell
Formation enthalpy at 0 K = -5.16 kcal/mol of atoms
Energy above the lowest structure with this stoichiometry = 0.0000 eV per atom


Record 3
Material: Tc2RhW
Method: DFT, PBEsol
State: relaxed

abc: 4.7230 2.7096 4.7269
angles: 90.00 109.57 90.00
Space group P2/m (No. 10)
One atom of each set of equivalent atoms:
Tc 0.0000 0.0000 0.0000 [1 per cell]
Tc 0.0000 0.5000 0.5000 [1 per cell]
Rh 0.5000 0.0000 0.5000 [1 per cell]
W 0.5000 0.5000 0.0000 [1 per cell]

Output
D(E_F) = 0.96 states/eV per atom
Mass density = 14065 kg/m³
M_tot = 0.0 μB per cell
Formation enthalpy at 0 K = -0.43 kcal/mol of atoms
Energy above the lowest structure with this stoichiometry = 0.0483 eV per atom


Record 4
Material: TcRhW
Method: DFT, PBEsol
State: relaxed

abc: 5.8845 5.8845 5.8845
angles: 90.00 90.00 90.00
Space group F-43m (No. 216)
One atom of each set of equivalent atoms:
Tc 0.0000 0.0000 0.0000 [4 per cell]
Rh 0.2500 0.2500 0.2500 [4 per cell]
W 0.2500 0.2500 0.7500 [4 per cell]

Output
D(E_F) = 1.56 states/eV per atom
Mass density = 12542 kg/m³
M_tot = 0.0 μB per cell
Formation enthalpy at 0 K = 18.25 kcal/mol of atoms
Energy above the lowest structure with this stoichiometry = 0.0000 eV per atom


Question: M_tot of number 4 (TcRhW)?
Answer: 0.0 μB per cell


Question: Which formula does entry 3 have?
Answer: Tc2RhW


Question: What is the formula in the fourth record?
Answer: TcRhW


Question: Look up the energy above the lowest structure with this stoichiometry of the fourth one.
Answer: 0.0000 eV per atom